VASP calculation (GGA-PBE) on a relaxed Na2ZrInPd crystal.

Values from the calculation:
As for the volume: 35.29 Å³/atom. The magnetic moment is 0.36 μB per atom. The energy of formation is 0.8718 eV per atom. Its space group is No. 123.

```
5
Lattice="6.0308 0.0000 0.0000 0.0000 4.8521 0.0000 0.0000 0.0000 6.0308" Properties=species:S:1:pos:R:3 pbc="T T T"
Na 0.0000 0.0000 3.0154
Na 3.0154 0.0000 0.0000
Zr 0.0000 0.0000 0.0000
Pd 0.0000 2.4260 0.0000
In 3.0154 2.4260 3.0154
```


VASP calculation (GGA-PBE) on a relaxed NaPmIn2 crystal.

Values from the calculation:
As for the volume: 27.53 Å³/atom. The magnetic moment is 0.00 μB per atom. The energy of formation is -0.3207 eV per atom. Its space group is No. 123.

```
4
Lattice="-3.7070 -0.5422 -1.3379 1.8368 -3.1006 -3.8327 -0.5204 -4.1892 3.1396" Properties=species:S:1:pos:R:3 pbc="T T T"
Na -1.1953 -3.9160 -1.0155
In -0.2602 -2.0946 1.5698
In 0.9184 -1.5503 -1.9164
Pm -1.8535 -0.2711 -0.6689
```


VASP calculation (GGA-PBE) on a relaxed NaPmIn crystal.

Values from the calculation:
As for the volume: 28.17 Å³/atom. The magnetic moment is 0.00 μB per atom. The energy of formation is -0.1447 eV per atom. Its space group is No. 156. The value obtained for the polymorph energy (0 for the lowest one) is 0 meV/atom.

```
3
Lattice="-1.3794 3.0672 -0.2581 -3.5717 -1.2857 3.8101 4.7011 2.2289 1.3631" Properties=species:S:1:pos:R:3 pbc="T T T"
Na -1.0452 0.3997 2.9512
In -0.2284 0.5078 -0.0427
Pm 1.0236 3.1029 2.0066
```


VASP calculation (GGA-PBE) on a relaxed NaPm2In9 crystal.

Values from the calculation:
As for the volume: 25.90 Å³/atom. The magnetic moment is 0.00 μB per atom. The energy of formation is -0.3216 eV per atom. Its space group is No. 123.

```
12
Lattice="-2.0285 0.4406 -4.2001 3.3234 -2.7084 -1.8892 -7.8744 -11.4755 2.5993" Properties=species:S:1:pos:R:3 pbc="T T T"
Na 0.0000 0.0000 0.0000
Pm -2.6302 -3.8330 0.8682
Pm -5.2443 -7.6425 1.7311
In 0.6474 -1.1339 -3.0447
In -1.9946 -4.9842 -2.1725
In -4.5849 -8.7592 -1.3175
In -2.3016 -1.6558 -1.6751
In -4.9515 -5.5175 -0.8004
In -7.6013 -9.3792 0.0743
In 0.3743 -3.2303 -0.5197
In -2.2755 -7.0920 0.3550
In -4.9254 -10.9537 1.2297
```


VASP calculation (GGA-PBE) on a relaxed NaPmIn2 crystal.

Values from the calculation:
As for the volume: 28.67 Å³/atom. The magnetic moment is 0.00 μB per atom. The energy of formation is -0.1243 eV per atom. Its space group is No. 166.

```
4
Lattice="-2.7044 2.0008 0.8801 -2.9987 -0.2661 -1.7403 -5.2982 -7.1052 6.7416" Properties=species:S:1:pos:R:3 pbc="T T T"
Na 0.0000 0.0000 0.0000
In -8.2568 -4.0408 4.4229
In -2.7446 -1.3296 1.4585
Pm -5.5007 -2.6852 2.9407
```


VASP calculation (GGA-PBE) on a relaxed NaPm4In5 crystal.

Values from the calculation:
As for the volume: 28.26 Å³/atom. The magnetic moment is 0.00 μB per atom. The energy of formation is -0.4030 eV per atom. Its space group is No. 123.

```
10
Lattice="3.8144 0.0000 0.0000 0.0000 3.8144 0.0000 0.0000 0.0000 19.4215" Properties=species:S:1:pos:R:3 pbc="T T T"
Na 0.0000 0.0000 0.0000
Pm 0.0000 0.0000 3.7872
Pm 0.0000 0.0000 7.7464
Pm 0.0000 0.0000 11.6751
Pm 0.0000 0.0000 15.6343
In 1.9072 1.9072 1.8964
In 1.9072 1.9072 5.7951
In 1.9072 1.9072 9.7108
In 1.9072 1.9072 13.6264
In 1.9072 1.9072 17.5251
```


VASP calculation (GGA-PBE) on a relaxed NaPmIn crystal.

Values from the calculation:
As for the volume: 30.39 Å³/atom. The magnetic moment is 0.00 μB per atom. The energy of formation is -0.0807 eV per atom. Its space group is No. 107. The value obtained for the polymorph energy (0 for the lowest one) is 64 meV/atom.

```
3
Lattice="-0.4515 -3.4389 -0.2656 2.0859 -0.0588 -2.7832 5.1320 0.6216 6.0069" Properties=species:S:1:pos:R:3 pbc="T T T"
Na 2.0078 -1.9745 -0.6273
In 6.1456 -2.7585 2.4903
Pm 3.5947 -0.6811 2.7085
```


VASP calculation (GGA-PBE) on a relaxed NaPm5In4 crystal.

Values from the calculation:
As for the volume: 29.64 Å³/atom. The magnetic moment is 0.00 μB per atom. The energy of formation is -0.3492 eV per atom. Its space group is No. 123.

```
10
Lattice="3.7155 0.0000 0.0000 0.0000 3.7155 0.0000 0.0000 0.0000 21.4740" Properties=species:S:1:pos:R:3 pbc="T T T"
Na 0.0000 0.0000 0.0000
Pm 1.8577 1.8577 2.5532
Pm 1.8577 1.8577 6.6100
Pm 1.8577 1.8577 10.7370
Pm 1.8577 1.8577 14.8640
Pm 1.8577 1.8577 18.9208
In 0.0000 0.0000 4.4895
In 0.0000 0.0000 8.6645
In 0.0000 0.0000 12.8095
In 0.0000 0.0000 16.9845
```


VASP calculation (GGA-PBE) on a relaxed Na2PmIn6 crystal.

Values from the calculation:
As for the volume: 26.59 Å³/atom. The magnetic moment is 0.00 μB per atom. The energy of formation is -0.2103 eV per atom. Its space group is No. 12.

```
9
Lattice="3.3607 -0.0007 0.0000 -0.0016 7.8608 4.5163 -0.0032 0.0124 9.0658" Properties=species:S:1:pos:R:3 pbc="T T T"
Na -0.0014 2.6238 4.5264
Na 3.3574 5.2487 9.0557
Pm 0.0000 0.0000 0.0000
In 1.6710 5.2347 12.0643
In 1.6844 0.0056 3.0436
In 1.6850 2.6378 1.5178
In 1.6782 5.2230 6.0452
In 1.6715 7.8669 10.5385
In 1.6777 2.6495 7.5369
```


VASP calculation (GGA-PBE) on a relaxed NaPm5In3 crystal.

Values from the calculation:
As for the volume: 30.12 Å³/atom. The magnetic moment is 0.00 μB per atom. The energy of formation is -0.3162 eV per atom. Its space group is No. 193.

```
18
Lattice="6.8160 0.0000 0.0000 0.0000 8.2989 -4.7915 0.0000 0.0002 9.5830" Properties=species:S:1:pos:R:3 pbc="T T T"
Na 0.0000 0.0000 0.0000
Na 3.4080 0.0000 0.0000
Pm 0.0000 5.5326 -0.0001
Pm 3.4080 2.7665 4.7916
Pm 0.0000 2.7665 4.7916
Pm 3.4080 5.5326 -0.0001
Pm 5.1120 5.6411 3.2575
Pm 5.1120 8.2985 -1.7225
Pm 5.1120 2.6580 -1.5346
Pm 1.7040 2.6580 1.5341
Pm 1.7040 0.0006 6.5140
Pm 1.7040 5.6410 -3.2569
In 5.1120 2.8642 1.6542
In 5.1120 8.2985 1.4840
In 5.1120 5.4349 -3.1379
In 1.7040 5.4349 3.1373
In 1.7040 0.0006 3.3076
In 1.7040 2.8641 -1.6536
```


VASP calculation (GGA-PBE) on a relaxed NaPmPrIn crystal.

Values from the calculation:
As for the volume: 30.25 Å³/atom. The magnetic moment is 0.00 μB per atom. The energy of formation is -0.1617 eV per atom. Its space group is No. 216.

```
4
Lattice="-0.0774 -4.4628 -3.3011 4.5047 -1.3481 -2.9512 2.9568 -4.5012 1.3477" Properties=species:S:1:pos:R:3 pbc="T T T"
Pr 1.8460 -2.5780 -1.2262
Na 0.0000 0.0000 0.0000
In 3.6920 -5.1560 -2.4523
Pm 5.5381 -7.7340 -3.6785
```


VASP calculation (GGA-PBE) on a relaxed NaPmInRh crystal.

Values from the calculation:
As for the volume: 21.58 Å³/atom. The magnetic moment is 0.00 μB per atom. The energy of formation is -0.2790 eV per atom. Its space group is No. 216.

```
4
Lattice="4.9610 0.0000 0.0000 2.4805 4.2963 0.0000 2.4805 1.4321 4.0506" Properties=species:S:1:pos:R:3 pbc="T T T"
Na 0.0000 0.0000 0.0000
In 2.4805 1.4321 1.0127
Rh 4.9610 2.8642 2.0253
Pm 7.4415 4.2963 3.0380
```


> Among the records above, which one has the highest energy of formation?

Na2ZrInPd


> What is the magnetic moment in the third record?

0.00 μB per atom


Please write out number 6 again, unchanged.
VASP calculation (GGA-PBE) on a relaxed NaPm4In5 crystal.

Values from the calculation:
As for the volume: 28.26 Å³/atom. The magnetic moment is 0.00 μB per atom. The energy of formation is -0.4030 eV per atom. Its space group is No. 123.

```
10
Lattice="3.8144 0.0000 0.0000 0.0000 3.8144 0.0000 0.0000 0.0000 19.4215" Properties=species:S:1:pos:R:3 pbc="T T T"
Na 0.0000 0.0000 0.0000
Pm 0.0000 0.0000 3.7872
Pm 0.0000 0.0000 7.7464
Pm 0.0000 0.0000 11.6751
Pm 0.0000 0.0000 15.6343
In 1.9072 1.9072 1.8964
In 1.9072 1.9072 5.7951
In 1.9072 1.9072 9.7108
In 1.9072 1.9072 13.6264
In 1.9072 1.9072 17.5251
```